PBE Cd12Sn3Sb5, optimized geometry; crystal system = cubic; E_tot = -170.2 eV for the cell shown; formation energy (no corrections) = 1.05 eV per formula unit
1.0
-1.0246 4.0726 14.0810
12.8637 -6.7444 -2.2245
-0.8563 11.8772 -8.6086
Sb Cd Sn
20 48 12
direct
0.7500 0.6250 0.3750 Sb
0.0000 0.0000 0.0000 Sb
0.7500 0.1250 0.8750 Sb
0.8750 0.6250 0.7500 Sb
0.2500 0.8750 0.1250 Sb
0.2500 0.3750 0.6250 Sb
0.6250 0.7500 0.8750 Sb
0.5000 0.0000 0.5000 Sb
0.6250 0.8750 0.2500 Sb
0.5000 0.5000 0.5000 Sb
0.0000 0.0000 0.5000 Sb
0.0000 0.5000 0.0000 Sb
0.5000 0.0000 0.0000 Sb
0.1250 0.7500 0.3750 Sb
0.3750 0.1250 0.7500 Sb
0.8750 0.2500 0.6250 Sb
0.1250 0.3750 0.2500 Sb
0.0000 0.5000 0.5000 Sb
0.5000 0.5000 0.0000 Sb
0.3750 0.2500 0.1250 Sb
0.2324 0.6732 0.1044 Cd
0.1732 0.0688 0.9408 Cd
0.3956 0.2676 0.3268 Cd
0.7324 0.1280 0.0592 Cd
0.1044 0.1732 0.2324 Cd
0.6732 0.4408 0.5688 Cd
0.9408 0.5688 0.1732 Cd
0.6280 0.5688 0.8956 Cd
0.0592 0.4312 0.8268 Cd
0.1732 0.1044 0.7324 Cd
0.4312 0.3720 0.6044 Cd
0.6044 0.7324 0.6732 Cd
0.0688 0.8956 0.1280 Cd
0.6280 0.0592 0.2324 Cd
0.7676 0.3268 0.8956 Cd
0.8956 0.8268 0.7676 Cd
0.6732 0.2324 0.6044 Cd
0.8956 0.0688 0.6280 Cd
0.8720 0.6044 0.9312 Cd
0.1280 0.7324 0.5592 Cd
0.6044 0.8720 0.4312 Cd
0.1280 0.3956 0.0688 Cd
0.9312 0.8268 0.5592 Cd
0.2676 0.8720 0.9408 Cd
0.3720 0.9408 0.7676 Cd
0.7324 0.6044 0.1732 Cd
0.2676 0.3956 0.8268 Cd
0.3956 0.1280 0.5688 Cd
0.2324 0.5592 0.6280 Cd
0.5688 0.6280 0.3956 Cd
0.1044 0.9312 0.3720 Cd
0.9408 0.3720 0.2676 Cd
0.3720 0.4312 0.1044 Cd
0.8268 0.9312 0.0592 Cd
0.9312 0.1044 0.8720 Cd
0.5592 0.3268 0.9312 Cd
0.3268 0.5592 0.4312 Cd
0.0688 0.1732 0.4408 Cd
0.7676 0.4408 0.3720 Cd
0.0592 0.6280 0.7324 Cd
0.4312 0.0592 0.3268 Cd
0.5688 0.9408 0.6732 Cd
0.4408 0.6732 0.0688 Cd
0.8720 0.2676 0.4408 Cd
0.3268 0.7676 0.3956 Cd
0.8268 0.8956 0.2676 Cd
0.5592 0.2324 0.1280 Cd
0.4408 0.7676 0.8720 Cd
0.6250 0.2500 0.3750 Sn
0.1250 0.2500 0.8750 Sn
0.6250 0.3750 0.7500 Sn
0.2500 0.1250 0.3750 Sn
0.7500 0.3750 0.1250 Sn
0.1250 0.8750 0.7500 Sn
0.8750 0.1250 0.2500 Sn
0.8750 0.7500 0.1250 Sn
0.7500 0.8750 0.6250 Sn
0.3750 0.6250 0.2500 Sn
0.2500 0.6250 0.8750 Sn
0.3750 0.7500 0.6250 Sn


PBE Cd2SnSb, optimized geometry; crystal system = trigonal; E_tot = -9.7 eV for the cell shown; formation energy (no corrections) = 0.26 eV per formula unit
1.0
4.6304 0.0000 0.0000
2.3152 4.0100 0.0000
2.3152 1.3367 6.1434
Sn Sb Cd
1 1 2
direct
0.6677 0.6677 0.9968 Sn
0.5031 0.5031 0.4907 Sb
0.0791 0.0791 0.7626 Cd
0.2500 0.2500 0.2499 Cd


PBE Cd3Sn12Sb5, optimized geometry; crystal system = cubic; E_tot = -273.2 eV for the cell shown; formation energy (no corrections) = 3.08 eV per formula unit
1.0
15.1548 0.0000 0.0000
-5.0516 14.2881 0.0000
-5.0516 -7.1440 12.3739
Sn Sb Cd
48 20 12
direct
0.8293 0.8968 0.2620 Sn
0.4327 0.7620 0.8653 Sn
0.2620 0.8653 0.9327 Sn
0.5674 0.9327 0.6707 Sn
0.0673 0.4326 0.8293 Sn
0.1032 0.9326 0.3653 Sn
0.7380 0.1347 0.0673 Sn
0.2620 0.3968 0.8293 Sn
0.5673 0.3293 0.9326 Sn
0.3293 0.7620 0.3968 Sn
0.8968 0.0674 0.6347 Sn
0.7620 0.4327 0.3653 Sn
0.5674 0.6347 0.3968 Sn
0.0674 0.8968 0.1347 Sn
0.8293 0.9326 0.0673 Sn
0.4326 0.3653 0.6032 Sn
0.8653 0.6032 0.9326 Sn
0.3653 0.4326 0.1032 Sn
0.2380 0.6707 0.1032 Sn
0.0674 0.1707 0.4327 Sn
0.1347 0.7380 0.5673 Sn
0.8968 0.8293 0.7620 Sn
0.9327 0.5674 0.1707 Sn
0.7620 0.3293 0.8968 Sn
0.3293 0.5673 0.4326 Sn
0.0673 0.6347 0.7380 Sn
0.1707 0.1032 0.7380 Sn
0.4327 0.6707 0.0674 Sn
0.6707 0.4327 0.5674 Sn
0.3653 0.9327 0.7620 Sn
0.3968 0.1347 0.5674 Sn
0.9326 0.1032 0.8653 Sn
0.7380 0.6032 0.1707 Sn
0.3968 0.2620 0.3293 Sn
0.1347 0.3968 0.0674 Sn
0.2380 0.5673 0.6347 Sn
0.4326 0.0673 0.3293 Sn
0.6032 0.7380 0.6707 Sn
0.5673 0.2380 0.1347 Sn
0.9327 0.3653 0.2620 Sn
0.1707 0.0674 0.9327 Sn
0.6707 0.2380 0.6032 Sn
0.9326 0.8293 0.5673 Sn
0.6032 0.8653 0.4326 Sn
0.8653 0.2620 0.4327 Sn
0.6347 0.5674 0.8968 Sn
0.6347 0.0673 0.2380 Sn
0.1032 0.1707 0.2380 Sn
0.0000 0.5000 0.0000 Sb
0.7500 0.1250 0.8750 Sb
0.5000 0.0000 0.0000 Sb
0.8750 0.6250 0.7500 Sb
0.8750 0.2500 0.6250 Sb
0.2500 0.3750 0.6250 Sb
0.0000 0.0000 0.0000 Sb
0.1250 0.7500 0.3750 Sb
0.7500 0.6250 0.3750 Sb
0.6250 0.7500 0.8750 Sb
0.2500 0.8750 0.1250 Sb
0.6250 0.8750 0.2500 Sb
0.0000 0.5000 0.5000 Sb
0.5000 0.5000 0.5000 Sb
0.3750 0.2500 0.1250 Sb
0.0000 0.0000 0.5000 Sb
0.5000 0.0000 0.5000 Sb
0.3750 0.1250 0.7500 Sb
0.1250 0.3750 0.2500 Sb
0.5000 0.5000 0.0000 Sb
0.8750 0.1250 0.2500 Cd
0.2500 0.6250 0.8750 Cd
0.3750 0.7500 0.6250 Cd
0.6250 0.3750 0.7500 Cd
0.1250 0.8750 0.7500 Cd
0.3750 0.6250 0.2500 Cd
0.2500 0.1250 0.3750 Cd
0.6250 0.2500 0.3750 Cd
0.8750 0.7500 0.1250 Cd
0.1250 0.2500 0.8750 Cd
0.7500 0.3750 0.1250 Cd
0.7500 0.8750 0.6250 Cd


PBE Cd2SnSb, optimized geometry; crystal system = tetragonal; E_tot = -9.6 eV for the cell shown; formation energy (no corrections) = 0.35 eV per formula unit
1.0
4.9064 0.0000 0.0000
0.0000 4.6048 0.0000
0.0000 0.0000 4.6048
Sb Cd Sn
1 2 1
direct
0.5000 0.5000 0.5000 Sb
0.0000 0.5000 0.0000 Cd
0.0000 0.0000 0.5000 Cd
0.5000 0.0000 0.0000 Sn


PBE CdSn2Sb2, optimized geometry; crystal system = tetragonal; E_tot = -16.3 eV for the cell shown; formation energy (no corrections) = 0.82 eV per formula unit
1.0
-5.3146 0.9950 -2.1839
-0.8534 -5.7432 -0.5398
-4.8791 -2.5120 2.9436
Sn Cd Sb
2 1 2
direct
0.2500 0.7500 0.5000 Sn
0.7500 0.2500 0.5000 Sn
0.0000 0.0000 0.0000 Cd
0.3438 0.3438 0.3124 Sb
0.6562 0.6562 0.6876 Sb


PBE CdSn2Sb2, optimized geometry; crystal system = triclinic; E_tot = -16.7 eV for the cell shown; formation energy (no corrections) = 0.50 eV per formula unit
1.0
4.2685 0.3089 0.7829
-2.0728 6.1488 0.8427
0.5828 1.7698 6.0007
Sb Sn Cd
2 2 1
direct
0.4895 0.4876 0.7709 Sb
0.5105 0.5124 0.2291 Sb
0.7637 0.1699 0.5488 Sn
0.2363 0.8301 0.4512 Sn
0.0000 0.0000 0.0000 Cd


PBE Cd2SnSb, optimized geometry; crystal system = tetragonal; E_tot = -19.2 eV for the cell shown; formation energy (no corrections) = 0.36 eV per formula unit
1.0
8.2675 0.0000 0.0000
0.0000 8.2675 0.0000
4.1337 4.1337 3.1341
Sb Cd Sn
2 4 2
direct
0.0000 0.0000 0.0000 Sb
0.7500 0.2500 0.5000 Sb
0.8750 0.8827 0.7500 Cd
0.3750 0.3673 0.7500 Cd
0.1173 0.6250 0.2500 Cd
0.6327 0.1250 0.2500 Cd
0.5000 0.5000 0.0000 Sn
0.2500 0.7500 0.5000 Sn


PBE CdSn4Sb5, optimized geometry; crystal system = trigonal; E_tot = -36.6 eV for the cell shown; formation energy (no corrections) = 0.90 eV per formula unit
1.0
-2.5979 3.7050 -0.6260
-1.4086 1.1190 -4.1990
-18.8144 -10.1884 1.1113
Sb Sn Cd
5 4 1
direct
0.9943 0.9943 0.0171 Sb
0.2054 0.2054 0.3837 Sb
0.7993 0.7993 0.6021 Sb
0.3929 0.3929 0.8213 Sb
0.6030 0.6030 0.1909 Sb
0.7475 0.7475 0.7576 Sn
0.3472 0.3472 0.9584 Sn
0.5587 0.5587 0.3238 Sn
0.1533 0.1533 0.5402 Sn
0.9484 0.9484 0.1550 Cd


PBE Cd3SnSb3, optimized geometry; crystal system = trigonal; E_tot = -37.9 eV for the cell shown; formation energy (no corrections) = 0.17 eV per formula unit
1.0
7.6570 0.7098 4.4027
2.8754 7.1320 4.4027
0.9533 0.7098 8.7809
Sb Cd Sn
6 6 2
direct
0.0697 0.3991 0.7489 Sb
0.6009 0.2511 0.9303 Sb
0.9303 0.6009 0.2511 Sb
0.7489 0.0697 0.3991 Sb
0.2511 0.9303 0.6009 Sb
0.3991 0.7489 0.0697 Sb
0.7814 0.4711 0.1286 Cd
0.5289 0.8714 0.2186 Cd
0.4711 0.1286 0.7814 Cd
0.1286 0.7814 0.4711 Cd
0.2186 0.5289 0.8714 Cd
0.8714 0.2186 0.5289 Cd
0.6660 0.6660 0.6660 Sn
0.3340 0.3340 0.3340 Sn


PBE CdSn5Sb4, optimized geometry; crystal system = tetragonal; E_tot = -37.1 eV for the cell shown; formation energy (no corrections) = 0.34 eV per formula unit
1.0
4.3257 0.0000 -0.6096
-0.0859 4.3248 -0.6096
0.0085 0.0087 15.7123
Sb Sn Cd
4 5 1
direct
0.5996 0.5996 0.1992 Sb
0.4004 0.4004 0.8008 Sb
0.8000 0.8000 0.6001 Sb
0.2000 0.2000 0.3999 Sb
0.1015 0.1015 0.2030 Sn
0.5000 0.5000 0.0000 Sn
0.3001 0.3001 0.6002 Sn
0.8985 0.8985 0.7970 Sn
0.6999 0.6999 0.3998 Sn
0.0000 0.0000 0.0000 Cd


PBE Cd12Sn5Sb3, optimized geometry; crystal system = cubic; E_tot = -162.7 eV for the cell shown; formation energy (no corrections) = 2.70 eV per formula unit
1.0
14.7710 0.0000 0.0000
-4.9237 13.9262 0.0000
-4.9237 -6.9631 12.0605
Sn Cd Sb
20 48 12
direct
0.5000 0.5000 0.0000 Sn
0.0000 0.0000 0.5000 Sn
0.5000 0.5000 0.5000 Sn
0.7500 0.1250 0.8750 Sn
0.6250 0.7500 0.8750 Sn
0.7500 0.6250 0.3750 Sn
0.3750 0.1250 0.7500 Sn
0.1250 0.3750 0.2500 Sn
0.6250 0.8750 0.2500 Sn
0.0000 0.0000 0.0000 Sn
0.8750 0.2500 0.6250 Sn
0.8750 0.6250 0.7500 Sn
0.2500 0.8750 0.1250 Sn
0.5000 0.0000 0.5000 Sn
0.0000 0.5000 0.5000 Sn
0.3750 0.2500 0.1250 Sn
0.1250 0.7500 0.3750 Sn
0.5000 0.0000 0.0000 Sn
0.2500 0.3750 0.6250 Sn
0.0000 0.5000 0.0000 Sn
0.9290 0.0999 0.8703 Cd
0.7704 0.4413 0.3703 Cd
0.7296 0.1297 0.0587 Cd
0.0999 0.9290 0.3703 Cd
0.5710 0.9413 0.6709 Cd
0.9413 0.3703 0.2704 Cd
0.4290 0.3703 0.5999 Cd
0.5710 0.6297 0.4001 Cd
0.8291 0.9001 0.2704 Cd
0.1297 0.4001 0.0710 Cd
0.0587 0.6297 0.7296 Cd
0.5999 0.7296 0.6709 Cd
0.6297 0.5710 0.9001 Cd
0.2296 0.6709 0.0999 Cd
0.3703 0.4290 0.0999 Cd
0.4413 0.6709 0.0710 Cd
0.3703 0.9413 0.7704 Cd
0.7296 0.5999 0.1709 Cd
0.5587 0.2296 0.1297 Cd
0.8703 0.2704 0.4413 Cd
0.9413 0.5710 0.1709 Cd
0.4001 0.2704 0.3291 Cd
0.8291 0.9290 0.0587 Cd
0.9001 0.8291 0.7704 Cd
0.5999 0.8703 0.4290 Cd
0.7704 0.3291 0.9001 Cd
0.9001 0.0710 0.6297 Cd
0.3291 0.7704 0.4001 Cd
0.8703 0.5999 0.9290 Cd
0.1709 0.0710 0.9413 Cd
0.0587 0.4290 0.8291 Cd
0.2704 0.4001 0.8291 Cd
0.9290 0.8291 0.5587 Cd
0.6709 0.4413 0.5710 Cd
0.0999 0.1709 0.2296 Cd
0.4413 0.7704 0.8703 Cd
0.1709 0.0999 0.7296 Cd
0.3291 0.5587 0.4290 Cd
0.6709 0.2296 0.5999 Cd
0.2296 0.5587 0.6297 Cd
0.0710 0.9001 0.1297 Cd
0.6297 0.0587 0.2296 Cd
0.1297 0.7296 0.5587 Cd
0.5587 0.3291 0.9290 Cd
0.0710 0.1709 0.4413 Cd
0.2704 0.8703 0.9413 Cd
0.4290 0.0587 0.3291 Cd
0.4001 0.1297 0.5710 Cd
0.7500 0.3750 0.1250 Sb
0.1250 0.2500 0.8750 Sb
0.6250 0.2500 0.3750 Sb
0.2500 0.1250 0.3750 Sb
0.3750 0.7500 0.6250 Sb
0.3750 0.6250 0.2500 Sb
0.7500 0.8750 0.6250 Sb
0.2500 0.6250 0.8750 Sb
0.1250 0.8750 0.7500 Sb
0.8750 0.7500 0.1250 Sb
0.6250 0.3750 0.7500 Sb
0.8750 0.1250 0.2500 Sb


PBE Cd4SnSb, optimized geometry; crystal system = cubic; E_tot = -10.9 eV for the cell shown; formation energy (no corrections) = 0.88 eV per formula unit
1.0
-0.4881 5.8651 -1.0171
-4.1338 2.0383 -3.7987
-4.7303 3.0055 2.0649
Sb Cd Sn
1 4 1
direct
0.2500 0.2500 0.2500 Sb
0.6248 0.6248 0.1255 Cd
0.6248 0.6248 0.6248 Cd
0.6248 0.1255 0.6248 Cd
0.1255 0.6248 0.6248 Cd
0.0000 0.0000 0.0000 Sn


PBE CdSn2Sb2, optimized geometry; crystal system = tetragonal; E_tot = -33.1 eV for the cell shown; formation energy (no corrections) = 0.60 eV per formula unit
1.0
-3.6737 6.5306 -4.1058
3.2420 -2.8194 -7.3853
-3.2177 -2.1759 -0.5819
Cd Sn Sb
2 4 4
direct
0.0000 0.0000 0.0000 Cd
0.5000 0.5000 0.0000 Cd
0.1426 0.6426 0.5000 Sn
0.6426 0.8574 0.5000 Sn
0.3574 0.1426 0.5000 Sn
0.8574 0.3574 0.5000 Sn
0.3441 0.8441 0.0000 Sb
0.8441 0.6559 0.0000 Sb
0.1559 0.3441 0.0000 Sb
0.6559 0.1559 0.0000 Sb


PBE TaCd2SnSb, optimized geometry; crystal system = tetragonal; E_tot = -14.8 eV for the cell shown; formation energy (no corrections) = 7.03 eV per formula unit
1.0
-3.2529 -3.3507 -2.3384
-0.9693 -2.6706 5.1751
-3.9950 3.2354 0.9214
Sn Cd Sb Ta
1 2 1 1
direct
0.0000 0.0000 0.0000 Sn
0.5000 0.0000 0.0000 Cd
0.0000 0.0000 0.5000 Cd
0.0000 0.5000 0.0000 Sb
0.5000 0.5000 0.5000 Ta